Version i
DFT (PBE) results for a relaxed Ce5In2Os2 crystal.

Lattice parameters (Å, degrees): 9.8347 9.8347 9.8347 68.11 127.29 140.09
Last column: nearest neighbours and their distance in Å.
Fractional positions:
Ce1 0.1218 0.3835 0.0566  2 Os 2.79-2.80, 1 Ce 2.96
Ce2 0.1218 0.5652 0.2383  2 Os 2.79-2.80, 1 Ce 2.96
Ce3 0.2134 0.0400 0.2534  2 Os 2.82-2.91
Ce4 0.2134 0.4600 0.6734  2 Os 2.82-2.91
Ce5 0.3269 0.0652 0.9434  2 Os 2.79-2.80, 1 Ce 2.96
Ce6 0.3269 0.8835 0.7617  2 Os 2.79-2.80, 1 Ce 2.96
Ce7 0.4168 0.3799 0.5369  1 Os 2.55
Ce8 0.7866 0.5400 0.3266  2 Os 2.82-2.91
Ce9 0.7866 0.9600 0.7466  2 Os 2.82-2.91
Ce10 0.8430 0.8799 0.4631  1 Os 2.55
In1 0.6437 0.0916 0.3530  2 Os 2.87-3.11, 1 Ce 3.21
In2 0.6437 0.7907 0.0521  2 Os 2.87-3.11, 1 Ce 3.21
In3 0.7386 0.2907 0.6470  2 Os 2.87-3.11, 1 Ce 3.21
In4 0.7386 0.5916 0.9479  2 Os 2.87-3.11, 1 Ce 3.21
Os1 0.3006 0.3006 0.0000  6 Ce 2.79-2.91, 2 In 3.11
Os2 0.3006 0.8006 0.5000  6 Ce 2.79-2.91, 2 In 3.11
Os3 0.8933 0.6522 0.7411  3 Ce 2.55-2.80
Os4 0.9111 0.1522 0.2589  3 Ce 2.55-2.80

Summary:
* symmetry: Ima2 (46)
* density of states at the Fermi level: 19.88 states/eV/f.u.

=====

Version ii
DFT (PBE) results for a relaxed Ce5In2Os2 crystal.

Lattice parameters (Å, degrees): 8.8436 8.8436 8.1190 90.00 90.00 49.20
Last column: nearest neighbours and their distance in Å.
Fractional positions:
Ce1 0.0000 0.0000 0.0000  4 Os 2.86-3.18
Ce2 0.0525 0.7180 0.6744  3 Os 2.83-3.08
Ce3 0.2180 0.5525 0.1744  3 Os 2.83-3.08
Ce4 0.2820 0.9475 0.6744  3 Os 2.83-3.08
Ce5 0.4475 0.7820 0.1744  3 Os 2.83-3.08
Ce6 0.5000 0.5000 0.5000  4 Os 2.86-3.18
Ce7 0.5525 0.2180 0.8256  3 Os 2.83-3.08
Ce8 0.7180 0.0525 0.3256  3 Os 2.83-3.08
Ce9 0.7820 0.4475 0.8256  3 Os 2.83-3.08
Ce10 0.9475 0.2820 0.3256  3 Os 2.83-3.08
In1 0.2196 0.2196 0.0000  7 Ce 3.26-3.53
In2 0.2804 0.2804 0.5000  7 Ce 3.26-3.53
In3 0.7196 0.7196 0.5000  7 Ce 3.26-3.53
In4 0.7804 0.7804 0.0000  7 Ce 3.26-3.53
Os1 0.1383 0.8617 0.3711  7 Ce 2.83-3.08, 1 Os 2.92
Os2 0.3617 0.6383 0.8711  7 Ce 2.83-3.08, 1 Os 2.92
Os3 0.6383 0.3617 0.1289  7 Ce 2.83-3.08, 1 Os 2.92
Os4 0.8617 0.1383 0.6289  7 Ce 2.83-3.08, 1 Os 2.92

Summary:
* symmetry: Cmce (64)
* density of states at the Fermi level: 21.79 states/eV/f.u.

=====

Quick ranking, most stable first: version ii, version i.

=====

Version i
DFT (PBE) results for a relaxed CeSmInOs crystal.

Lattice parameters (Å, degrees): 3.3768 3.3768 8.6284 90.00 90.00 90.00
Last column: nearest neighbours and their distance in Å.
Fractional positions:
Ce1 0.0000 0.0000 0.0000  4 Os 2.94
Sm1 0.0000 0.0000 0.4103  4 Os 3.01
In1 0.5000 0.5000 0.7041  4 In 3.38, 4 Sm 3.48, 4 Ce 3.50
Os1 0.5000 0.5000 0.1983  4 Ce 2.94, 4 Sm 3.01

Summary:
* symmetry: P4mm (99)
* density of states at the Fermi level: 3.72 states/eV/f.u.

=====

Version ii
DFT (PBE) results for a relaxed CeSmInOs crystal.

Lattice parameters (Å, degrees): 5.1511 5.1511 5.1511 60.00 60.00 60.00
Last column: nearest neighbours and their distance in Å.
Fractional positions:
Ce1 0.0000 0.0000 0.0000  4 In 3.15, 4 Os 3.15
Sm1 0.5000 0.5000 0.5000  4 In 3.15, 4 Os 3.15
In1 0.7500 0.7500 0.7500  4 Ce 3.15, 4 Sm 3.15
Os1 0.2500 0.2500 0.2500  4 Sm 3.15, 4 Ce 3.15

Summary:
* symmetry: F-43m (216)
* density of states at the Fermi level: 5.46 states/eV/f.u.

=====

Quick ranking, most stable first: version i, version ii.

=====

Version i
DFT (PBE) results for a relaxed CeThInOs crystal.

Lattice parameters (Å, degrees): 3.3378 3.3378 8.9200 90.00 90.00 90.00
Last column: nearest neighbours and their distance in Å.
Fractional positions:
Ce1 0.0000 0.0000 0.0000  4 Os 2.98, 4 Ce 3.34
Th1 0.0000 0.0000 0.4165  4 Os 3.02, 4 Th 3.34
In1 0.5000 0.5000 0.7122  4 In 3.34, 4 Ce 3.49, 4 Th 3.54
Os1 0.5000 0.5000 0.2047  4 Ce 2.98, 4 Th 3.02, 4 Os 3.34

Summary:
* symmetry: P4mm (99)
* density of states at the Fermi level: 4.68 states/eV/f.u.

=====

Version ii
DFT (PBE) results for a relaxed CeThInOs crystal.

Lattice parameters (Å, degrees): 5.0387 5.0387 5.0387 60.00 60.00 60.00
Last column: nearest neighbours and their distance in Å.
Fractional positions:
Ce1 0.0000 0.0000 0.0000  4 In 3.09, 4 Th 3.09
Th1 0.2500 0.2500 0.2500  4 Os 3.09, 4 Ce 3.09
In1 0.7500 0.7500 0.7500  4 Os 3.09, 4 Ce 3.09
Os1 0.5000 0.5000 0.5000  4 Th 3.09, 4 In 3.09

Summary:
* symmetry: F-43m (216)
* density of states at the Fermi level: 6.95 states/eV/f.u.

=====

Quick ranking, most stable first: version i, version ii.

=====

Version i
DFT (PBE) results for a relaxed CePaIn2 crystal.

Lattice parameters (Å, degrees): 11.4461 11.4461 11.4461 16.23 16.23 16.23
Last column: nearest neighbours and their distance in Å.
Fractional positions:
Ce1 0.0000 0.0000 0.0000  6 Ce 3.23, 6 In 3.40
Pa1 0.5000 0.5000 0.5000  6 Pa 3.23, 6 In 3.36
In1 0.2493 0.2493 0.2493  6 In 3.23, 3 Pa 3.36, 3 Ce 3.40
In2 0.7507 0.7507 0.7507  6 In 3.23, 3 Pa 3.36, 3 Ce 3.40

Summary:
* symmetry: R-3m (166)
* density of states at the Fermi level: 7.51 states/eV/f.u.

=====

Version ii
DFT (PBE) results for a relaxed CePaIn2 crystal.

Lattice parameters (Å, degrees): 4.5931 4.5931 4.8318 90.00 90.00 90.00
Last column: nearest neighbours and their distance in Å.
Fractional positions:
Ce1 0.0000 0.0000 0.0000  4 Pa 3.25, 8 In 3.33
Pa1 0.5000 0.5000 0.0000  4 Ce 3.25, 8 In 3.33
In1 0.0000 0.5000 0.5000  4 In 3.25, 4 Ce 3.33, 4 Pa 3.33
In2 0.5000 0.0000 0.5000  4 In 3.25, 4 Ce 3.33, 4 Pa 3.33

Summary:
* symmetry: P4/mmm (123)
* density of states at the Fermi level: 7.95 states/eV/f.u.

=====

Version iii
DFT (PBE) results for a relaxed CePaIn2 crystal.

Lattice parameters (Å, degrees): 3.2323 3.2323 9.7886 90.00 90.00 90.00
Last column: nearest neighbours and their distance in Å.
Fractional positions:
Ce1 0.0000 0.0000 0.0000  4 Ce 3.23, 8 In 3.37
Pa1 0.0000 0.0000 0.5000  4 Pa 3.23, 8 In 3.33
In1 0.5000 0.5000 0.2525  4 In 3.23, 4 Pa 3.33, 4 Ce 3.37
In2 0.5000 0.5000 0.7475  4 In 3.23, 4 Pa 3.33, 4 Ce 3.37

Summary:
* symmetry: P4/mmm (123)
* density of states at the Fermi level: 8.32 states/eV/f.u.

=====

Quick ranking, most stable first: version iii, version ii, version i.

=====

Version i
DFT (PBE) results for a relaxed CePaIn crystal.

Lattice parameters (Å, degrees): 5.2451 5.2451 3.0470 90.00 90.00 120.00
Last column: nearest neighbours and their distance in Å.
Fractional positions:
Ce1 0.0000 0.0000 0.0000  3 Pa 3.03, 2 Ce 3.05, 6 In 3.39
Pa1 0.3333 0.6667 0.0000  3 Ce 3.03, 2 Pa 3.05, 6 In 3.39
In1 0.6667 0.3333 0.5000  2 In 3.05, 6 Ce 3.39, 6 Pa 3.39

Summary:
* symmetry: P-6m2 (187)
* density of states at the Fermi level: 6.58 states/eV/f.u.

=====

Version ii
DFT (PBE) results for a relaxed CePaIn crystal.

Lattice parameters (Å, degrees): 5.8812 5.8812 5.8812 142.00 142.00 54.83
Last column: nearest neighbours and their distance in Å.
Fractional positions:
Ce1 0.0000 0.0000 0.0000  4 Pa 3.01, 5 In 3.26-3.34
Pa1 0.3747 0.3747 0.0000  4 Ce 3.01, 5 In 3.27-3.34
In1 0.6876 0.6876 0.0000  5 Ce 3.26-3.34, 5 Pa 3.27-3.34

Summary:
* symmetry: I4mm (107)
* density of states at the Fermi level: 8.26 states/eV/f.u.

=====

Quick ranking, most stable first: version i, version ii.

=====

Version i
DFT (PBE) results for a relaxed CeIn2Pb crystal.

Lattice parameters (Å, degrees): 5.4854 5.4854 5.4854 60.00 60.00 60.00
Last column: nearest neighbours and their distance in Å.
Fractional positions:
Ce1 0.0000 0.0000 0.0000  8 In 3.36
In1 0.2500 0.2500 0.2500  4 Pb 3.36, 4 Ce 3.36
In2 0.7500 0.7500 0.7500  4 Ce 3.36, 4 Pb 3.36
Pb1 0.5000 0.5000 0.5000  8 In 3.36

Summary:
* symmetry: Fm-3m (225)
* density of states at the Fermi level: 7.95 states/eV/f.u.

=====

Version ii
DFT (PBE) results for a relaxed CeIn2Pb crystal.

Lattice parameters (Å, degrees): 5.8193 5.8193 3.5798 90.00 90.00 110.97
Last column: nearest neighbours and their distance in Å.
Fractional positions:
Ce1 0.0000 0.0000 0.0000  2 Pb 3.30, 8 In 3.42, 2 Ce 3.58
In1 0.0000 0.5000 0.5000  4 In 3.30-3.58, 4 Pb 3.42, 4 Ce 3.42
In2 0.5000 0.0000 0.5000  4 In 3.30-3.58, 4 Ce 3.42, 4 Pb 3.42
Pb1 0.5000 0.5000 0.0000  2 Ce 3.30, 8 In 3.42, 2 Pb 3.58

Summary:
* symmetry: Cmmm (65)
* density of states at the Fermi level: 7.23 states/eV/f.u.

=====

Version iii
DFT (PBE) results for a relaxed CeIn2Pb crystal.

Lattice parameters (Å, degrees): 4.6926 4.6926 4.9311 90.00 90.00 90.00
Last column: nearest neighbours and their distance in Å.
Fractional positions:
Ce1 0.0000 0.0000 0.0000  4 Pb 3.32, 8 In 3.40
In1 0.0000 0.5000 0.5000  4 In 3.32, 4 Pb 3.40, 4 Ce 3.40
In2 0.5000 0.0000 0.5000  4 In 3.32, 4 Pb 3.40, 4 Ce 3.40
Pb1 0.5000 0.5000 0.0000  4 Ce 3.32, 8 In 3.40

Summary:
* symmetry: P4/mmm (123)
* density of states at the Fermi level: 6.10 states/eV/f.u.

=====

Quick ranking, most stable first: version iii, version ii, version i.